Entry 1:
MgTlReNi after structural relaxation. Source: OQMD, functional PBE.

Calculated values
The size of the total moment is 2.5 μB/f.u. The total energy is -19.1 eV for the cell shown.

a = 4.5320 Å, b = 4.5320 Å, c = 4.5320 Å
α = 60.00°, β = 60.00°, γ = 60.00°
Last column: nearest neighbours and their distance in Å.
Atoms (fractional coordinates):
Re  0.5000  0.5000  0.5000  4 Mg 2.78, 4 Ni 2.78
Tl  0.0000  0.0000  0.0000  4 Ni 2.78, 4 Mg 2.78
Ni  0.7500  0.7500  0.7500  4 Tl 2.78, 4 Re 2.78
Mg  0.2500  0.2500  0.2500  4 Re 2.78, 4 Tl 2.78

Entry 2:
CdFeAgAs after structural relaxation. Source: OQMD, functional PBE.

Calculated values
The size of the total moment is 2.7 μB/f.u. The total energy is -15.2 eV for the cell shown. The energy above the most stable polymorph in this dataset comes out at 0.000 eV/atom.

a = 4.6300 Å, b = 4.6300 Å, c = 4.6300 Å
α = 60.00°, β = 60.00°, γ = 60.00°
Last column: nearest neighbours and their distance in Å.
Atoms (fractional coordinates):
As  0.0000  0.0000  0.0000  4 Fe 2.84, 4 Ag 2.84
Ag  0.2500  0.2500  0.2500  4 Cd 2.84, 4 As 2.84
Fe  0.7500  0.7500  0.7500  4 As 2.84, 4 Cd 2.84
Cd  0.5000  0.5000  0.5000  4 Fe 2.84, 4 Ag 2.84

Entry 3:
Cs2CuSnBr6 after structural relaxation. Source: OQMD, functional PBE.

Calculated values
The total energy is -30.3 eV for the cell shown.

a = 7.7871 Å, b = 7.7871 Å, c = 7.7870 Å
α = 120.00°, β = 120.00°, γ = 60.00°
Last column: nearest neighbours and their distance in Å.
Atoms (fractional coordinates):
Sn  0.0000  0.0000  0.0000  6 Br 2.85
Br  0.2594  0.7416  0.7415  1 Cu 2.65, 1 Sn 2.85
Br  0.7416  0.2594  0.7415  1 Cu 2.65, 1 Sn 2.85
Br  0.7410  0.7410  0.7402  1 Cu 2.65, 1 Sn 2.85
Br  0.2584  0.7406  0.2585  1 Cu 2.65, 1 Sn 2.85
Br  0.2590  0.2590  0.2598  1 Cu 2.65, 1 Sn 2.85
Br  0.7406  0.2584  0.2585  1 Cu 2.65, 1 Sn 2.85
Cs  0.7498  0.7498  0.2500  12 Br 3.89-3.90
Cs  0.2502  0.2502  0.7500  12 Br 3.89-3.90
Cu  0.5000  0.5000  0.5000  6 Br 2.65

Entry 4:
NaZnAsPt after structural relaxation. Source: OQMD, functional PBE.

Calculated values
The size of the total moment is 0.0 μB/f.u. The total energy is -13.4 eV for the cell shown. The energy above the most stable polymorph in this dataset comes out at 0.185 eV/atom.

a = 4.5824 Å, b = 4.5824 Å, c = 4.5824 Å
α = 60.00°, β = 60.00°, γ = 60.00°
Last column: nearest neighbours and their distance in Å.
Atoms (fractional coordinates):
As  0.0000  0.0000  0.0000  4 Zn 2.81, 4 Na 2.81
Na  0.7500  0.7500  0.7500  4 Pt 2.81, 4 As 2.81
Pt  0.5000  0.5000  0.5000  4 Na 2.81, 4 Zn 2.81
Zn  0.2500  0.2500  0.2500  4 As 2.81, 4 Pt 2.81

Entry 5:
Pr3Hg3Pt2Au after structural relaxation. Source: OQMD, functional PBE.

Calculated values
The size of the total moment is 0.0 μB/f.u. The total energy is -37.5 eV for the cell shown. Its formation energy is -6.9 eV/f.u.

a = 7.9652 Å, b = 7.9652 Å, c = 3.9285 Å
α = 90.00°, β = 90.00°, γ = 120.00°
Last column: nearest neighbours and their distance in Å.
Atoms (fractional coordinates):
Pr  0.4048  0.0000  0.0000  4 Pt 3.12, 1 Au 3.22, 6 Hg 3.26-3.45
Pr  0.5952  0.5952  0.0000  4 Pt 3.12, 1 Au 3.22, 6 Hg 3.26-3.45
Pr  0.0000  0.4048  0.0000  4 Pt 3.12, 1 Au 3.22, 6 Hg 3.26-3.45
Au  0.0000  0.0000  0.0000  6 Hg 2.90, 3 Pr 3.22
Hg  0.0000  0.7316  0.5000  2 Au 2.90, 2 Pt 2.95
Hg  0.7316  0.0000  0.5000  2 Au 2.90, 2 Pt 2.95
Hg  0.2684  0.2684  0.5000  2 Au 2.90, 2 Pt 2.95
Pt  0.6667  0.3333  0.5000  3 Hg 2.95, 6 Pr 3.12
Pt  0.3333  0.6667  0.5000  3 Hg 2.95, 6 Pr 3.12

Entry 6:
AcH6Pt after structural relaxation. Source: OQMD, functional PBE.

Calculated values
The size of the total moment is 0.0 μB/f.u. The total energy is -33.1 eV for the cell shown.

a = 4.4724 Å, b = 4.4724 Å, c = 4.3223 Å
α = 99.34°, β = 99.34°, γ = 93.64°
Last column: nearest neighbours and their distance in Å.
Atoms (fractional coordinates):
H  0.9412  0.2917  0.2777  1 Pt 1.69
H  0.2917  0.9412  0.2777  1 Pt 1.69
H  0.0588  0.7083  0.7223  1 Pt 1.69
H  0.7083  0.0588  0.7223  1 Pt 1.69
H  0.7446  0.7446  0.0907  1 Pt 1.70
H  0.2554  0.2554  0.9093  1 Pt 1.70
Ac  0.5000  0.5000  0.5000  12 H 2.50-2.64
Pt  0.0000  0.0000  0.0000  6 H 1.69-1.70

Entry 7:
KCoSiS4 after structural relaxation. Source: OQMD, functional PBE.

Calculated values
The size of the total moment is 1.4 μB/f.u. The total energy is -68.7 eV for the cell shown.

a = 6.0412 Å, b = 6.6628 Å, c = 8.5031 Å
α = 90.00°, β = 103.91°, γ = 90.00°
Last column: nearest neighbours and their distance in Å.
Atoms (fractional coordinates):
K  0.2827  0.0208  0.5795  5 S 3.14-3.27
K  0.7173  0.5208  0.4205  5 S 3.14-3.27
S  0.4175  0.4694  0.6904  1 Si 2.13, 1 Co 2.31
S  0.9171  0.3140  0.7653  1 Si 2.11, 1 Co 2.29
S  0.5717  0.0226  0.9400  1 Si 2.15, 2 Co 2.29-2.38
S  0.5825  0.9694  0.3096  1 Si 2.13, 1 Co 2.31
S  0.9431  0.3239  0.1577  1 Si 2.11, 1 Co 2.26
S  0.0829  0.8140  0.2347  1 Si 2.11, 1 Co 2.29
S  0.0569  0.8239  0.8423  1 Si 2.11, 1 Co 2.26
S  0.4283  0.5226  0.0600  1 Si 2.15, 2 Co 2.29-2.38
Si  0.8218  0.0288  0.1675  4 S 2.11-2.15
Si  0.1782  0.5288  0.8325  4 S 2.11-2.15
Co  0.3304  0.8676  0.0732  5 S 2.26-2.38
Co  0.6696  0.3676  0.9268  5 S 2.26-2.38

Entry 8:
Gd3Mg2Ga2GePd after structural relaxation. Source: OQMD, functional PBE.

Calculated values
The size of the total moment is 0.0 μB/f.u. The total energy is -38.8 eV for the cell shown.

a = 4.4434 Å, b = 7.1748 Å, c = 7.1748 Å
α = 120.37°, β = 90.00°, γ = 90.00°
Last column: nearest neighbours and their distance in Å.
Atoms (fractional coordinates):
Mg  0.0000  0.0000  0.2351  2 Pd 2.80, 2 Ga 2.81-2.83, 1 Mg 2.93, 1 Ge 2.97
Mg  0.0000  0.2351  0.0000  2 Pd 2.80, 2 Ga 2.81-2.83, 1 Mg 2.93, 1 Ge 2.97
Ga  0.0000  0.6671  0.3373  1 Ge 2.73, 2 Mg 2.81-2.83
Ga  0.0000  0.3373  0.6671  1 Ge 2.73, 2 Mg 2.81-2.83
Pd  0.5000  0.9937  0.9937  2 Ge 2.80, 4 Mg 2.80, 3 Gd 2.92-3.06
Gd  0.5000  0.5895  0.9996  1 Pd 2.92, 4 Ga 3.09-3.12
Gd  0.5000  0.4232  0.4232  1 Pd 3.06, 4 Ga 3.08, 2 Ge 3.24
Gd  0.5000  0.9996  0.5895  1 Pd 2.92, 4 Ga 3.09-3.12
Ge  0.0000  0.7545  0.7545  2 Ga 2.73, 2 Pd 2.80, 2 Mg 2.97

Entry 9:
HoAuSO after structural relaxation. Source: OQMD, functional PBE.

Calculated values
The size of the total moment is 0.0 μB/f.u. The total energy is -96.2 eV for the cell shown. The energy above the most stable polymorph in this dataset comes out at 0.194 eV/atom.

a = 7.2546 Å, b = 6.2669 Å, c = 6.0987 Å
α = 90.00°, β = 91.46°, γ = 90.00°
Last column: nearest neighbours and their distance in Å.
Atoms (fractional coordinates):
Ho  0.4008  0.0118  0.2465  4 O 2.23-2.40
Ho  0.4008  0.4882  0.7465  4 O 2.23-2.40
Ho  0.5992  0.5118  0.2535  4 O 2.23-2.40
Ho  0.5992  0.9882  0.7535  4 O 2.23-2.40
Au  0.0080  0.8154  0.7077  2 S 2.29-2.32
Au  0.9920  0.3154  0.7923  2 S 2.29-2.32
Au  0.9920  0.1846  0.2923  2 S 2.29-2.32
Au  0.0080  0.6846  0.2077  2 S 2.29-2.32
S  0.7792  0.9412  0.1665  2 Au 2.29-2.32
S  0.2208  0.4412  0.3335  2 Au 2.29-2.32
S  0.7792  0.5588  0.6665  2 Au 2.29-2.32
S  0.2208  0.0588  0.8335  2 Au 2.29-2.32
O  0.4687  0.7655  0.4993  4 Ho 2.23-2.40
O  0.5313  0.2345  0.5007  4 Ho 2.23-2.40
O  0.4687  0.7345  0.9993  4 Ho 2.23-2.40
O  0.5313  0.2655  0.0007  4 Ho 2.23-2.40

Entry 10:
RbAsOsO after structural relaxation. Source: OQMD, functional PBE.

Calculated values
The size of the total moment is 0.1 μB/f.u. The total energy is -43.6 eV for the cell shown. The energy above the most stable polymorph in this dataset comes out at 0.392 eV/atom.

a = 3.8564 Å, b = 3.8564 Å, c = 12.0154 Å
α = 90.00°, β = 90.00°, γ = 90.00°
Last column: nearest neighbours and their distance in Å.
Atoms (fractional coordinates):
Os  0.0000  0.0000  0.5000  4 As 2.49, 4 Os 2.73
Os  0.5000  0.5000  0.5000  4 As 2.49, 4 Os 2.73
As  0.5000  0.0000  0.6313  4 Os 2.49
As  0.0000  0.5000  0.3687  4 Os 2.49
Rb  0.5000  0.0000  0.1569  4 O 2.70
Rb  0.0000  0.5000  0.8431  4 O 2.70
O  0.0000  0.0000  0.0000  4 Rb 2.70, 4 O 2.73
O  0.5000  0.5000  0.0000  4 Rb 2.70, 4 O 2.73

Entry 11:
SrHg3O4 after structural relaxation. Source: OQMD, functional PBE.

Calculated values
The total energy is -29.0 eV for the cell shown.

a = 4.9492 Å, b = 4.9492 Å, c = 4.9492 Å
α = 90.00°, β = 90.00°, γ = 90.00°
Last column: nearest neighbours and their distance in Å.
Atoms (fractional coordinates):
O  0.0000  0.5000  0.0000  4 Hg 2.47, 2 Sr 2.47
O  0.0000  0.0000  0.5000  4 Hg 2.47, 2 Sr 2.47
O  0.5000  0.0000  0.0000  4 Hg 2.47, 2 Sr 2.47
O  0.5000  0.5000  0.5000  6 Hg 2.47
Hg  0.0000  0.5000  0.5000  6 O 2.47
Hg  0.5000  0.0000  0.5000  6 O 2.47
Hg  0.5000  0.5000  0.0000  6 O 2.47
Sr  0.0000  0.0000  0.0000  6 O 2.47

Entry 12:
SmIrPt after structural relaxation. Source: OQMD, functional PBE.

Calculated values
The size of the total moment is 0.0 μB/f.u. The total energy is -19.3 eV for the cell shown. Its formation energy is 0.3 eV/f.u. The energy above the most stable polymorph in this dataset comes out at 0.331 eV/atom.

a = 4.5995 Å, b = 4.5995 Å, c = 4.5995 Å
α = 60.00°, β = 60.00°, γ = 60.00°
Last column: nearest neighbours and their distance in Å.
Atoms (fractional coordinates):
Ir  0.2500  0.2500  0.2500  4 Sm 2.82
Sm  0.0000  0.0000  0.0000  4 Ir 2.82, 4 Pt 2.82
Pt  0.7500  0.7500  0.7500  4 Sm 2.82

What did the eleventh record say?
SrHg3O4 after structural relaxation. Source: OQMD, functional PBE.

Calculated values
The total energy is -29.0 eV for the cell shown.

a = 4.9492 Å, b = 4.9492 Å, c = 4.9492 Å
α = 90.00°, β = 90.00°, γ = 90.00°
Last column: nearest neighbours and their distance in Å.
Atoms (fractional coordinates):
O  0.0000  0.5000  0.0000  4 Hg 2.47, 2 Sr 2.47
O  0.0000  0.0000  0.5000  4 Hg 2.47, 2 Sr 2.47
O  0.5000  0.0000  0.0000  4 Hg 2.47, 2 Sr 2.47
O  0.5000  0.5000  0.5000  6 Hg 2.47
Hg  0.0000  0.5000  0.5000  6 O 2.47
Hg  0.5000  0.0000  0.5000  6 O 2.47
Hg  0.5000  0.5000  0.0000  6 O 2.47
Sr  0.0000  0.0000  0.0000  6 O 2.47